[1]
A plane-wave DFT calculation with PBE was carried out for an optimized crystal structure of KOsSe.

Computed properties:
As for the polymorph energy (0 for the lowest one): 1720.8 meV per atom. The value obtained for the volume is 30.2 Å³/atom.

Cell and atoms, written as extended XYZ:
```
3
Lattice="-4.302 2.582 0.500 -2.855 -0.630 4.108 -0.344 3.688 3.421" Properties=species:S:1:pos:R:3 pbc="T T T"
K -5.626 4.230 6.022
Os 0.000 0.000 0.000
Se -3.751 2.820 4.015
```

=====

[2]
A plane-wave DFT calculation with PBE was carried out for an optimized crystal structure of KOsSe2.

Computed properties:
The value obtained for the volume is 27.6 Å³/atom.

Cell and atoms, written as extended XYZ:
```
8
Lattice="-6.101 -0.808 4.510 -1.266 -6.920 -2.953 -1.497 -5.408 3.460" Properties=species:S:1:pos:R:3 pbc="T T T"
K -3.684 -3.864 0.778
K -3.224 -8.096 0.642
Os 0.000 0.000 0.000
Os -5.641 -5.040 4.374
Se -5.016 -2.811 3.810
Se -1.258 -5.689 -0.913
Se -3.747 -6.194 3.503
Se -7.709 -11.579 3.632
```

=====

[3]
A plane-wave DFT calculation with PBE was carried out for an optimized crystal structure of KOsSe2.

Computed properties:
The value obtained for the volume is 21.2 Å³/atom.

Cell and atoms, written as extended XYZ:
```
4
Lattice="-2.136 1.643 5.168 -5.698 1.045 0.642 3.487 -4.119 -2.200" Properties=species:S:1:pos:R:3 pbc="T T T"
K -3.917 1.344 2.905
Os -1.283 -0.566 2.936
Se 0.000 0.000 0.000
Se -3.064 -0.865 0.673
```

=====

[4]
A plane-wave DFT calculation with PBE was carried out for an optimized crystal structure of KOs2Se.

Computed properties:
The value obtained for the volume is 21.9 Å³/atom.

Cell and atoms, written as extended XYZ:
```
4
Lattice="6.187 -0.004 -0.005 2.779 5.528 0.005 -3.434 -4.464 2.560" Properties=species:S:1:pos:R:3 pbc="T T T"
K 2.052 1.998 1.283
Os 8.402 5.176 0.000
Os 3.573 -0.881 1.278
Se 4.954 3.052 0.000
```

=====

[5]
A plane-wave DFT calculation with PBE was carried out for an optimized crystal structure of KOs2Se.

Computed properties:
The value obtained for the volume is 19.2 Å³/atom.

Cell and atoms, written as extended XYZ:
```
4
Lattice="2.645 0.000 0.000 0.000 4.954 0.000 0.000 0.000 5.848" Properties=species:S:1:pos:R:3 pbc="T T T"
K 0.000 2.477 2.924
Os 0.000 0.000 0.000
Os 1.323 2.477 0.000
Se 1.323 0.000 2.924
```

=====

[6]
A plane-wave DFT calculation with PBE was carried out for an optimized crystal structure of KOsSe.

Computed properties:
As for the polymorph energy (0 for the lowest one): 8.3 meV per atom. The value obtained for the volume is 22.3 Å³/atom.

Cell and atoms, written as extended XYZ:
```
3
Lattice="-5.567 -0.511 3.630 -6.504 -1.186 -0.845 6.415 -1.415 -1.125" Properties=species:S:1:pos:R:3 pbc="T T T"
K -12.071 -1.697 2.784
Os -3.493 -0.491 0.806
Se -8.579 -1.206 1.979
```

=====

[7]
A plane-wave DFT calculation with PBE was carried out for an optimized crystal structure of KOsSe2.

Computed properties:
The value obtained for the volume is 26.9 Å³/atom.

Cell and atoms, written as extended XYZ:
```
4
Lattice="-0.717 -1.646 4.089 1.770 -2.432 -0.669 6.267 3.839 2.644" Properties=species:S:1:pos:R:3 pbc="T T T"
K 3.815 0.577 0.901
Os 7.341 0.377 3.878
Se 7.049 0.801 1.559
Se 2.941 -2.319 2.021
```

=====

[8]
A plane-wave DFT calculation with PBE was carried out for an optimized crystal structure of KOsSe2.

Computed properties:
The value obtained for the volume is 23.1 Å³/atom.

Cell and atoms, written as extended XYZ:
```
4
Lattice="-0.496 -0.009 -3.165 1.734 -2.681 -0.264 -7.432 -4.924 1.179" Properties=species:S:1:pos:R:3 pbc="T T T"
K -3.544 -2.348 0.562
Os -6.508 -6.066 -0.585
Se -6.184 -4.096 0.981
Se -1.107 -2.489 -1.441
```

=====

[9]
A plane-wave DFT calculation with PBE was carried out for an optimized crystal structure of KOsSe.

Computed properties:
As for the polymorph energy (0 for the lowest one): 867.9 meV per atom. The value obtained for the volume is 23.4 Å³/atom.

Cell and atoms, written as extended XYZ:
```
3
Lattice="4.631 0.000 0.000 2.315 4.010 0.000 2.315 1.337 3.781" Properties=species:S:1:pos:R:3 pbc="T T T"
K 0.000 0.000 0.000
Os 4.631 2.673 1.890
Se 6.946 4.010 2.836
```

=====

[10]
A plane-wave DFT calculation with PBE was carried out for an optimized crystal structure of KOsSe2.

Computed properties:
The value obtained for the volume is 23.3 Å³/atom.

Cell and atoms, written as extended XYZ:
```
4
Lattice="3.092 0.000 0.000 0.000 3.092 0.000 0.000 0.000 9.739" Properties=species:S:1:pos:R:3 pbc="T T T"
K 0.000 0.000 4.990
Os 1.546 1.546 7.822
Se 0.000 0.000 8.989
Se 1.546 1.546 2.548
```

=====

[11]
A plane-wave DFT calculation with PBE was carried out for an optimized crystal structure of KOsSe.

Computed properties:
As for the polymorph energy (0 for the lowest one): 644.2 meV per atom. The value obtained for the volume is 20.1 Å³/atom.

Cell and atoms, written as extended XYZ:
```
3
Lattice="5.049 0.000 0.000 -2.525 4.373 0.000 0.000 0.000 2.737" Properties=species:S:1:pos:R:3 pbc="T T T"
K 0.000 0.000 0.001
Os 2.525 1.458 1.368
Se 0.000 2.915 1.369
```

=====

[12]
A plane-wave DFT calculation with PBE was carried out for an optimized crystal structure of KOs2Se.

Computed properties:
The value obtained for the volume is 18.5 Å³/atom.

Cell and atoms, written as extended XYZ:
```
4
Lattice="4.945 0.003 0.014 -2.509 5.740 0.008 -0.074 0.618 2.606" Properties=species:S:1:pos:R:3 pbc="T T T"
K 1.218 2.872 0.011
Os 0.000 0.000 0.000
Os 2.436 0.311 1.310
Se -1.291 3.179 1.307
```

=====

[13]
A plane-wave DFT calculation with PBE was carried out for an optimized crystal structure of KOs2Se.

Computed properties:
The value obtained for the volume is 18.4 Å³/atom.

Cell and atoms, written as extended XYZ:
```
4
Lattice="9.848 0.000 0.000 9.403 2.925 0.000 9.403 1.429 2.553" Properties=species:S:1:pos:R:3 pbc="T T T"
K 21.490 3.265 1.914
Os 28.157 4.278 2.508
Os 14.823 2.252 1.320
Se 7.163 1.088 0.638
```

=====

[14]
A plane-wave DFT calculation with PBE was carried out for an optimized crystal structure of KOs2Se.

Computed properties:
The value obtained for the volume is 19.5 Å³/atom.

Cell and atoms, written as extended XYZ:
```
4
Lattice="3.006 0.000 0.000 0.000 3.006 0.000 0.000 0.000 8.627" Properties=species:S:1:pos:R:3 pbc="T T T"
K 1.503 1.503 6.470
Os 0.000 0.000 0.674
Os 0.000 0.000 3.640
Se 1.503 1.503 2.157
```

=====

[15]
A plane-wave DFT calculation with PBE was carried out for an optimized crystal structure of KOs2Se.

Computed properties:
The value obtained for the volume is 17.9 Å³/atom.

Cell and atoms, written as extended XYZ:
```
4
Lattice="-2.208 -1.157 1.272 2.148 -1.662 -0.676 4.337 1.855 9.213" Properties=species:S:1:pos:R:3 pbc="T T T"
K 3.223 -0.018 7.208
Os 0.130 0.055 0.275
Os 2.039 0.872 4.331
Se 1.054 -0.946 2.601
```

=====

| no. | E_form (uncorrected) (eV per formula unit) |
| --- | --- |
| 1 | 6.126 |
| 2 | -1.115 |
| 3 | 3.628 |
| 4 | 3.927 |
| 5 | 4.638 |
| 6 | 0.989 |
| 7 | 0.376 |
| 8 | 0.560 |
| 9 | 3.568 |
| 10 | 0.761 |
| 11 | 2.897 |
| 12 | 4.453 |
| 13 | 4.457 |
| 14 | 4.963 |
| 15 | 5.009 |